[1]
# LaTl2In2 | the Alexandria database | PBE-GGA | optimized geometry
# N(E_F) = 4.952 states/eV/cell
# Final energy = -3.1781 eV per atom
# Formation energy = -0.754 eV/f.u.
# Magnetic moment = 0.00 μB per formula unit
data_LaTl2In2
_chemical_formula_sum 'La2 Tl4 In4'
_space_group_name_H-M_alt 'P 4/m b m'
_space_group_IT_number 127
_space_group_name_Hall '-P 4 2ab'
_cell_length_a 8.771
_cell_length_b 8.771
_cell_length_c 3.792
_cell_angle_alpha 90.00
_cell_angle_beta 90.00
_cell_angle_gamma 90.00
loop_
_atom_site_label
_atom_site_type_symbol
_atom_site_fract_x
_atom_site_fract_y
_atom_site_fract_z
La1 La 0.000 0.000 0.000
Tl1 Tl 0.132 0.368 0.000
In1 In 0.167 0.667 0.500

=====

[2]
# La2TlIn | the Alexandria database | PBE-GGA | optimized geometry
# N(E_F) = 13.852 states/eV/cell
# Final energy = -4.0238 eV per atom
# Formation energy = -1.136 eV/f.u.
# Magnetic moment = 0.00 μB per formula unit
data_La2TlIn
_chemical_formula_sum 'La6 Tl3 In3'
_space_group_name_H-M_alt 'R -3 m'
_space_group_IT_number 166
_space_group_name_Hall '-R 3 2"'
_cell_length_a 3.9578
_cell_length_b 3.9578
_cell_length_c 30.0619
_cell_angle_alpha 90.00
_cell_angle_beta 90.00
_cell_angle_gamma 120.00
loop_
_atom_site_label
_atom_site_type_symbol
_atom_site_fract_x
_atom_site_fract_y
_atom_site_fract_z
La1 La 0.0000 0.0000 0.2487
Tl1 Tl 0.0000 0.0000 0.0000
In1 In 0.0000 0.0000 0.5000

=====

[3]
# La3TlIn | the Alexandria database | PBE-GGA | optimized geometry
# N(E_F) = 10.545 states/eV/cell
# Final energy = -3.7702 eV per atom
# Formation energy = 1.036 eV/f.u.
# Magnetic moment = 0.00 μB per formula unit
data_La3TlIn
_chemical_formula_sum 'La3 Tl1 In1'
_space_group_name_H-M_alt 'P m -3 m'
_space_group_IT_number 221
_space_group_name_Hall '-P 4 2 3'
_cell_length_a 5.996
_cell_length_b 5.996
_cell_length_c 5.996
_cell_angle_alpha 90.00
_cell_angle_beta 90.00
_cell_angle_gamma 90.00
loop_
_atom_site_label
_atom_site_type_symbol
_atom_site_fract_x
_atom_site_fract_y
_atom_site_fract_z
La1 La 0.000 0.000 0.500
Tl1 Tl 0.500 0.500 0.500
In1 In 0.000 0.000 0.000

=====

[4]
# La2TlIn | the Alexandria database | PBE-GGA | optimized geometry
# N(E_F) = 3.403 states/eV/cell
# Final energy = -4.2076 eV per atom
# Formation energy = -1.871 eV/f.u.
# Magnetic moment = 0.00 μB per formula unit
data_La2TlIn
_chemical_formula_sum 'La2 Tl1 In1'
_space_group_name_H-M_alt 'P 1 2/m 1'
_space_group_IT_number 10
_cell_length_a 3.710
_cell_length_b 4.522
_cell_length_c 7.359
_cell_angle_alpha 90.00
_cell_angle_beta 90.08
_cell_angle_gamma 90.00
loop_
_space_group_symop_operation_xyz
'x,y,z'
'-x,-y,-z'
'-x,y,-z'
'x,-y,z'
loop_
_atom_site_label
_atom_site_type_symbol
_atom_site_fract_x
_atom_site_fract_y
_atom_site_fract_z
La1 La 0.000 0.000 0.246
Tl1 Tl 0.500 0.500 0.500
In1 In 0.500 0.500 0.000

=====

[5]
# LaTl2In | the Alexandria database | PBE-GGA | optimized geometry
# N(E_F) = 3.508 states/eV/cell
# Final energy = -3.3129 eV per atom
# Formation energy = -0.853 eV/f.u.
# Magnetic moment = 0.00 μB per formula unit
data_LaTl2In
_chemical_formula_sum 'La1 Tl2 In1'
_space_group_name_H-M_alt 'P 4/m m m'
_space_group_IT_number 123
_space_group_name_Hall '-P 4 2'
_cell_length_a 3.972
_cell_length_b 3.972
_cell_length_c 7.427
_cell_angle_alpha 90.00
_cell_angle_beta 90.00
_cell_angle_gamma 90.00
loop_
_atom_site_label
_atom_site_type_symbol
_atom_site_fract_x
_atom_site_fract_y
_atom_site_fract_z
La1 La 0.000 0.000 0.000
Tl1 Tl 0.500 0.500 0.272
In1 In 0.000 0.000 0.500

=====

[6]
# La5Tl4In | the Alexandria database | PBE-GGA | optimized geometry
# N(E_F) = 10.230 states/eV/cell
# Final energy = -4.1267 eV per atom
# Formation energy = -4.426 eV/f.u.
# Magnetic moment = 0.00 μB per formula unit
data_La5Tl4In
_chemical_formula_sum 'La5 Tl4 In1'
_space_group_name_H-M_alt 'P 4/m m m'
_space_group_IT_number 123
_space_group_name_Hall '-P 4 2'
_cell_length_a 3.960
_cell_length_b 3.960
_cell_length_c 20.079
_cell_angle_alpha 90.00
_cell_angle_beta 90.00
_cell_angle_gamma 90.00
loop_
_atom_site_label
_atom_site_type_symbol
_atom_site_fract_x
_atom_site_fract_y
_atom_site_fract_z
La1 La 0.000 0.000 0.000
La2 La 0.000 0.000 0.201
La3 La 0.000 0.000 0.402
Tl1 Tl 0.500 0.500 0.101
Tl2 Tl 0.500 0.500 0.301
In1 In 0.500 0.500 0.500

=====

[7]
# La3Tl2In | the Alexandria database | PBE-GGA | optimized geometry
# N(E_F) = 6.063 states/eV/cell
# Final energy = -4.1647 eV per atom
# Formation energy = -2.735 eV/f.u.
# Magnetic moment = 0.00 μB per formula unit
data_La3Tl2In
_chemical_formula_sum 'La3 Tl2 In1'
_space_group_name_H-M_alt 'P 4/m m m'
_space_group_IT_number 123
_space_group_name_Hall '-P 4 2'
_cell_length_a 3.962
_cell_length_b 3.962
_cell_length_c 12.001
_cell_angle_alpha 90.00
_cell_angle_beta 90.00
_cell_angle_gamma 90.00
loop_
_atom_site_label
_atom_site_type_symbol
_atom_site_fract_x
_atom_site_fract_y
_atom_site_fract_z
La1 La 0.000 0.000 0.000
La2 La 0.000 0.000 0.336
Tl1 Tl 0.500 0.500 0.168
In1 In 0.500 0.500 0.500

=====

[8]
# La6Tl5In | the Alexandria database | PBE-GGA | optimized geometry
# N(E_F) = 27.111 states/eV/cell
# Final energy = -3.9548 eV per atom
# Formation energy = -3.323 eV/f.u.
# Magnetic moment = 0.00 μB per formula unit
data_La6Tl5In
_chemical_formula_sum 'La12 Tl10 In2'
_space_group_name_H-M_alt 'C 1 2/m 1'
_space_group_IT_number 12
_cell_length_a 10.189
_cell_length_b 11.862
_cell_length_c 6.957
_cell_angle_alpha 90.00
_cell_angle_beta 102.76
_cell_angle_gamma 90.00
loop_
_space_group_symop_operation_xyz
'x,y,z'
'-x,-y,-z'
'-x,y,-z'
'x,-y,z'
'x+1/2,y+1/2,z'
'-x+1/2,-y+1/2,-z'
'-x+1/2,y+1/2,-z'
'x+1/2,-y+1/2,z'
loop_
_atom_site_label
_atom_site_type_symbol
_atom_site_fract_x
_atom_site_fract_y
_atom_site_fract_z
La1 La 0.247 0.000 0.243
La2 La 0.249 0.166 0.748
Tl1 Tl 0.000 0.000 0.500
Tl2 Tl 0.000 0.174 0.000
Tl3 Tl 0.000 0.339 0.500
In1 In 0.000 0.500 0.000

=====

[9]
# LaTl2In2 | the Alexandria database | PBE-GGA | optimized geometry
# N(E_F) = 4.894 states/eV/cell
# Final energy = -3.1451 eV per atom
# Formation energy = -0.589 eV/f.u.
# Magnetic moment = 0.00 μB per formula unit
data_LaTl2In2
_chemical_formula_sum 'La2 Tl4 In4'
_space_group_name_H-M_alt 'I 4/m m m'
_space_group_IT_number 139
_space_group_name_Hall '-I 4 2'
_cell_length_a 4.679
_cell_length_b 4.679
_cell_length_c 13.836
_cell_angle_alpha 90.00
_cell_angle_beta 90.00
_cell_angle_gamma 90.00
loop_
_atom_site_label
_atom_site_type_symbol
_atom_site_fract_x
_atom_site_fract_y
_atom_site_fract_z
La1 La 0.000 0.000 0.000
Tl1 Tl 0.000 0.500 0.250
In1 In 0.000 0.000 0.398

=====

[10]
# La2TlIn | the Alexandria database | PBE-GGA | optimized geometry
# N(E_F) = 12.010 states/eV/cell
# Final energy = -4.2056 eV per atom
# Formation energy = -1.863 eV/f.u.
# Magnetic moment = 0.00 μB per formula unit
data_La2TlIn
_chemical_formula_sum 'La8 Tl4 In4'
_space_group_name_H-M_alt 'F m -3 m'
_space_group_IT_number 225
_space_group_name_Hall '-F 4 2 3'
_cell_length_a 7.944
_cell_length_b 7.944
_cell_length_c 7.944
_cell_angle_alpha 90.00
_cell_angle_beta 90.00
_cell_angle_gamma 90.00
loop_
_atom_site_label
_atom_site_type_symbol
_atom_site_fract_x
_atom_site_fract_y
_atom_site_fract_z
La1 La 0.250 0.250 0.250
Tl1 Tl 0.000 0.000 0.000
In1 In 0.000 0.000 0.500

=====

[11]
# La11Tl4In9 | the Alexandria database | PBE-GGA | optimized geometry
# N(E_F) = 31.896 states/eV/cell
# Final energy = -4.1313 eV per atom
# Formation energy = -10.837 eV/f.u.
# Magnetic moment = 0.00 μB per formula unit
data_La11Tl4In9
_chemical_formula_sum 'La22 Tl8 In18'
_space_group_name_H-M_alt 'C m m m'
_space_group_IT_number 65
_space_group_name_Hall '-C 2 2'
_cell_length_a 14.731
_cell_length_b 21.992
_cell_length_c 4.544
_cell_angle_alpha 90.00
_cell_angle_beta 90.00
_cell_angle_gamma 90.00
loop_
_atom_site_label
_atom_site_type_symbol
_atom_site_fract_x
_atom_site_fract_y
_atom_site_fract_z
La1 La 0.000 0.000 0.000
La2 La 0.000 0.168 0.000
La3 La 0.000 0.361 0.000
La4 La 0.223 0.500 0.000
La5 La 0.235 0.177 0.000
Tl1 Tl 0.152 0.402 0.500
In1 In 0.000 0.500 0.500
In2 In 0.108 0.261 0.500
In3 In 0.130 0.078 0.500